# PdSe2Br

Crystalline PdSe2Br at its relaxed geometry (GGA-PBE, Alexandria).

Computed properties:
energy relative to the elements, uncorrected	0.859	eV/f.u.
DFT total energy	-0.1192	Ha/atom
magnetic moment	0.000	μB per atom
space group	P4/mmm

Lattice parameters (Å, degrees): 3.9595 3.9595 5.4285 90.00 90.00 90.00
Fractional coordinates of all 4 atoms:
Pd  0.0000  0.0000  0.0000
Se  0.0000  0.0000  0.5000
Se  0.5000  0.5000  0.0000
Br  0.5000  0.5000  0.5000